Record 1
Material: Pr2DyP
Method: DFT, PBE
State: relaxed

Calculated volume: 32.2 A^3/atom
Energy: -5.485 eV/atom
Energy of formation: -592 meV per atom

CIF file:
```
data_Pr2DyP
_chemical_formula_sum 'Pr6 Dy3 P3'
_cell_length_a 3.9422
_cell_length_b 3.9422
_cell_length_c 28.7549
_cell_angle_alpha 90.00
_cell_angle_beta 90.00
_cell_angle_gamma 120.00
_symmetry_space_group_name_H-M 'R -3 m'
_symmetry_Int_Tables_number 166
_symmetry_space_group_name_Hall '-R 3 2"'
loop_
_atom_site_label
_atom_site_type_symbol
_atom_site_fract_x
_atom_site_fract_y
_atom_site_fract_z
_atom_site_occupancy
Pr1 Pr 0.0000 0.0000 0.2270 1
Dy1 Dy 0.0000 0.0000 0.0000 1
P1 P 0.0000 0.0000 0.5000 1
```



Record 2
Material: Tm6AsO12
Method: DFT, PBE
State: relaxed

Calculated volume: 12.8 A^3/atom
Energy relative to the elements, uncorrected: -3.13 eV per atom
Energy: -7.914 eV/atom

CIF file:
```
data_Tm6AsO12
_chemical_formula_sum 'Tm18 As3 O36'
_cell_length_a 9.5851
_cell_length_b 9.5851
_cell_length_c 9.1503
_cell_angle_alpha 90.00
_cell_angle_beta 90.00
_cell_angle_gamma 120.00
_symmetry_space_group_name_H-M 'R -3'
_symmetry_Int_Tables_number 148
_symmetry_space_group_name_Hall '-R 3'
loop_
_atom_site_label
_atom_site_type_symbol
_atom_site_fract_x
_atom_site_fract_y
_atom_site_fract_z
_atom_site_occupancy
Tm1 Tm 0.0505 0.7896 0.1502 1
As1 As 0.0000 0.0000 0.5000 1
O1 O 0.0369 0.8122 0.9023 1
O2 O 0.0437 0.8574 0.3910 1
```



Record 3
Material: HgRhO2
Method: DFT, PBE
State: relaxed

Calculated volume: 13.8 A^3/atom
Energy relative to the elements, uncorrected: -0.23 eV per atom
Energy: -4.618 eV/atom

CIF file:
```
data_HgRhO2
_chemical_formula_sum 'Hg4 Rh4 O8'
_cell_length_a 5.058
_cell_length_b 8.044
_cell_length_c 5.445
_cell_angle_alpha 90.00
_cell_angle_beta 90.00
_cell_angle_gamma 90.00
_symmetry_space_group_name_H-M 'P n a 21'
_symmetry_Int_Tables_number 33
loop_
_symmetry_equiv_pos_as_xyz
'x,y,z'
'-x,-y,z+1/2'
'-x+1/2,y+1/2,z+1/2'
'x+1/2,-y+1/2,z'
loop_
_atom_site_label
_atom_site_type_symbol
_atom_site_fract_x
_atom_site_fract_y
_atom_site_fract_z
_atom_site_occupancy
Hg1 Hg 0.109 0.159 0.000 1
Rh1 Rh 0.068 0.658 0.074 1
O1 O 0.032 0.437 0.225 1
O2 O 0.066 0.128 0.432 1
```



Record 4
Material: Ho5AgRu4
Method: DFT, PBE
State: relaxed

Calculated volume: 20.3 A^3/atom
Energy: -6.686 eV/atom
Energy of formation: -402 meV per atom

CIF file:
```
data_Ho5AgRu4
_chemical_formula_sum 'Ho5 Ag1 Ru4'
_cell_length_a 3.400
_cell_length_b 3.400
_cell_length_c 17.526
_cell_angle_alpha 90.00
_cell_angle_beta 90.00
_cell_angle_gamma 90.00
_symmetry_space_group_name_H-M 'P 4/m m m'
_symmetry_Int_Tables_number 123
_symmetry_space_group_name_Hall '-P 4 2'
loop_
_atom_site_label
_atom_site_type_symbol
_atom_site_fract_x
_atom_site_fract_y
_atom_site_fract_z
_atom_site_occupancy
Ho1 Ho 0.000 0.000 0.000 1
Ho2 Ho 0.000 0.000 0.191 1
Ho3 Ho 0.000 0.000 0.382 1
Ag1 Ag 0.500 0.500 0.500 1
Ru1 Ru 0.500 0.500 0.096 1
Ru2 Ru 0.500 0.500 0.293 1
```



Record 5
Material: SnHO2F
Method: DFT, PBE
State: relaxed

Calculated volume: 8.5 A^3/atom
Energy: -4.223 eV/atom

CIF file:
```
data_SnHO2F
_chemical_formula_sum 'Sn1 H1 O2 F1'
_cell_length_a 3.697
_cell_length_b 3.697
_cell_length_c 3.121
_cell_angle_alpha 90.00
_cell_angle_beta 90.00
_cell_angle_gamma 90.00
_symmetry_space_group_name_H-M 'P 4/m m m'
_symmetry_Int_Tables_number 123
_symmetry_space_group_name_Hall '-P 4 2'
loop_
_atom_site_label
_atom_site_type_symbol
_atom_site_fract_x
_atom_site_fract_y
_atom_site_fract_z
_atom_site_occupancy
Sn1 Sn 0.000 0.000 0.000 1
H1 H 0.500 0.500 0.500 1
O1 O 0.000 0.500 0.500 1
F1 F 0.500 0.500 0.000 1
```



Record 6
Material: Ca3TlCd8
Method: DFT, PBE
State: relaxed

Calculated volume: 25.6 A^3/atom
Energy: -1.561 eV/atom
Energy of formation: -253 meV per atom
Energy above the lowest structure with this stoichiometry: 0 meV per atom

CIF file:
```
data_Ca3TlCd8
_chemical_formula_sum 'Ca3 Tl1 Cd8'
_cell_length_a 6.0435
_cell_length_b 6.0435
_cell_length_c 9.6956
_cell_angle_alpha 90.00
_cell_angle_beta 90.00
_cell_angle_gamma 120.00
_symmetry_space_group_name_H-M 'P 3 m 1'
_symmetry_Int_Tables_number 156
loop_
_symmetry_equiv_pos_as_xyz
'x,y,z'
'-y,x-y,z'
'-x+y,-x,z'
'-y,-x,z'
'-x+y,y,z'
'x,x-y,z'
loop_
_atom_site_label
_atom_site_type_symbol
_atom_site_fract_x
_atom_site_fract_y
_atom_site_fract_z
_atom_site_occupancy
Ca1 Ca 0.0000 0.0000 0.0000 1
Ca2 Ca 0.0000 0.0000 0.3823 1
Ca3 Ca 0.3333 0.6667 0.8629 1
Tl1 Tl 0.3333 0.6667 0.4931 1
Cd1 Cd 0.0078 0.5039 0.1817 1
Cd2 Cd 0.3251 0.1626 0.6878 1
Cd3 Cd 0.6667 0.3333 0.4342 1
Cd4 Cd 0.6667 0.3333 0.9316 1
```